[1]
Material: Np2PaF11
Method: DFT, PBE
State: relaxed

Cell lengths 8.4494, 8.8419, 8.8419 Å; angles 74.17, 61.46, 61.46 degrees
Each line ends with the local moment (μB).
Positions (direct):
F1 0.3721 0.7180 0.2820  -0.02
F2 0.5555 0.0249 0.6835  -0.01
F3 0.6538 0.7037 0.5719  -0.01
F4 0.0555 0.1835 0.5249  -0.01
F5 0.4295 0.7963 0.9281  -0.01
F6 0.8462 0.9281 0.7963  -0.01
F7 0.4445 0.9751 0.3165  -0.01
F8 0.5705 0.2037 0.0719  -0.01
F9 0.9295 0.4281 0.2963  -0.01
F10 0.9445 0.8165 0.4751  -0.01
F11 0.6279 0.2820 0.7180  -0.02
F12 0.0705 0.5719 0.7037  -0.01
F13 0.7362 0.6835 0.0249  -0.01
F14 0.0000 0.0000 0.0000  -0.01
F15 0.7638 0.4751 0.8165  -0.01
F16 0.2638 0.3165 0.9751  -0.01
F17 0.5000 0.5000 0.5000  -0.01
F18 0.3462 0.2963 0.4281  -0.01
F19 0.1279 0.2180 0.7820  -0.02
F20 0.8721 0.7820 0.2180  -0.02
F21 0.1538 0.0719 0.2037  -0.01
F22 0.2362 0.5249 0.1835  -0.01
Np1 0.6442 0.6813 0.3187  3.63
Np2 0.1442 0.8187 0.1813  3.63
Np3 0.8558 0.1813 0.8187  3.63
Np4 0.3558 0.3187 0.6813  3.63
Pa1 0.7500 0.7500 0.7500  0.74
Pa2 0.2500 0.2500 0.2500  0.74

Its total energy is -213.128 eV per cell.



[2]
Material: NpPaF2
Method: DFT, PBE
State: relaxed

Cell lengths 3.0834, 3.0834, 8.8217 Å; angles 79.94, 79.94, 60.00 degrees
Each line ends with the local moment (μB).
Positions (direct):
Pa1 0.0000 0.0000 0.0000  -0.51
F1 0.0967 0.0967 0.7098  0.00
F2 0.9033 0.9033 0.2902  0.00
Np1 0.5000 0.5000 0.5000  3.73

Its total energy is -33.022 eV per cell.



[3]
Material: NpPa2F11
Method: DFT, PBE
State: relaxed

Cell lengths 8.5902, 8.9058, 8.9058 Å; angles 73.45, 61.17, 61.17 degrees
Each line ends with the local moment (μB).
Positions (direct):
F1 0.0452 0.1821 0.5373  -0.01
F2 0.6279 0.2854 0.7146  -0.01
F3 0.7646 0.4627 0.8179  -0.01
F4 0.8721 0.7854 0.2146  -0.01
F5 0.6443 0.7096 0.5617  -0.01
F6 0.5000 0.5000 0.5000  -0.01
F7 0.0000 0.0000 0.0000  -0.01
F8 0.1279 0.2146 0.7854  -0.01
F9 0.7354 0.6821 0.0373  -0.01
F10 0.3721 0.7146 0.2854  -0.01
F11 0.2354 0.5373 0.1821  -0.01
F12 0.4156 0.7904 0.9383  -0.01
F13 0.4548 0.9627 0.3179  -0.01
F14 0.0844 0.5617 0.7096  -0.01
F15 0.5844 0.2096 0.0617  -0.01
F16 0.9548 0.8179 0.4627  -0.01
F17 0.5452 0.0373 0.6821  -0.01
F18 0.1443 0.0617 0.2096  -0.01
F19 0.8557 0.9383 0.7904  -0.01
F20 0.9156 0.4383 0.2904  -0.01
F21 0.2646 0.3179 0.9627  -0.01
F22 0.3557 0.2904 0.4383  -0.01
Pa1 0.8516 0.1819 0.8181  1.03
Pa2 0.6484 0.6819 0.3181  1.03
Pa3 0.1484 0.8181 0.1819  1.03
Pa4 0.3516 0.3181 0.6819  1.03
Np1 0.7500 0.7500 0.7500  3.94
Np2 0.2500 0.2500 0.2500  3.94

Its total energy is -208.767 eV per cell.



[4]
Material: NpPb2F8
Method: DFT, PBE
State: relaxed

Cell lengths 4.0958, 5.8696, 7.7098 Å; angles 109.24, 105.40, 90.00 degrees
Each line ends with the local moment (μB).
Positions (direct):
F1 0.2220 0.3132 0.4440  0.00
F2 0.9798 0.1841 0.9597  -0.01
F3 0.6443 0.9584 0.2887  -0.01
F4 0.4109 0.6126 0.8218  -0.02
F5 0.7780 0.6868 0.5560  0.00
F6 0.5891 0.3874 0.1782  -0.02
F7 0.0202 0.8159 0.0403  -0.01
F8 0.3557 0.0416 0.7113  -0.01
Pb1 0.8200 0.3294 0.6400  0.00
Pb2 0.1800 0.6706 0.3600  0.00
Np1 0.5000 0.0000 0.0000  3.05

The value obtained for the energy relative to the lowest polymorph listed for this composition is 0.000 eV/atom.



[5]
Material: NpPb2F8
Method: DFT, PBE
State: relaxed

Cell lengths 3.9679, 6.6303, 7.2094 Å; angles 117.38, 105.97, 90.00 degrees
Each line ends with the local moment (μB).
Positions (direct):
F1 0.6384 0.8887 0.2769  -0.01
F2 0.1080 0.1080 0.2160  -0.02
F3 0.0000 0.6874 0.0000  -0.01
F4 0.3616 0.6118 0.7231  -0.01
F5 0.3616 0.1113 0.7231  -0.01
F6 0.8920 0.8920 0.7840  -0.02
F7 0.6384 0.3882 0.2769  -0.01
F8 0.0000 0.3126 0.0000  -0.01
Pb1 0.1628 0.6628 0.3256  0.00
Pb2 0.8372 0.3372 0.6744  0.00
Np1 0.5000 0.0000 0.0000  3.07

The value obtained for the energy relative to the lowest polymorph listed for this composition is 0.103 eV/atom.



[6]
Material: NpTlPbF6
Method: DFT, PBE
State: relaxed

Cell lengths 6.7135, 6.7135, 9.6825 Å; angles 90.00, 90.00, 120.00 degrees
Each line ends with the local moment (μB).
Positions (direct):
F1 0.6404 0.0219 0.3663  -0.01
F2 0.6185 0.6404 0.6337  -0.01
F3 0.3815 0.0219 0.1337  -0.01
F4 0.6404 0.6185 0.1337  -0.01
F5 0.0219 0.3815 0.6337  -0.01
F6 0.3596 0.9781 0.6337  -0.01
F7 0.3815 0.3596 0.3663  -0.01
F8 0.3596 0.3815 0.8663  -0.01
F9 0.0219 0.6404 0.8663  -0.01
F10 0.9781 0.6185 0.3663  -0.01
F11 0.6185 0.9781 0.8663  -0.01
F12 0.9781 0.3596 0.1337  -0.01
Tl1 0.0000 0.0000 0.5000  0.00
Tl2 0.0000 0.0000 0.0000  0.00
Np1 0.6667 0.3333 0.2500  3.93
Np2 0.3333 0.6667 0.7500  3.93
Pb1 0.6667 0.3333 0.7500  0.02
Pb2 0.3333 0.6667 0.2500  0.02

Its total energy is -108.276 eV per cell.